Record 1
# NaSi3O PBE-GGA optimized geometry
data_NaSi3O
_chemical_formula_sum 'Na1 Si3 O1'
_symmetry_space_group_name_H-M 'P m -3 m'
_symmetry_Int_Tables_number 221
_symmetry_space_group_name_Hall '-P 4 2 3'
_cell_length_a 4.891
_cell_length_b 4.891
_cell_length_c 4.891
_cell_angle_alpha 90.00
_cell_angle_beta 90.00
_cell_angle_gamma 90.00
loop_
_atom_site_label
_atom_site_type_symbol
_atom_site_fract_x
_atom_site_fract_y
_atom_site_fract_z
Na1 Na 0.000 0.000 0.000
Si1 Si 0.000 0.000 0.500
O1 O 0.500 0.500 0.500
# E_form (uncorrected) = 1928 meV/atom
# Total magnetic moment = 0.0 Bohr magnetons per cell


Record 2
# Tb2PmPr2Nd PBE-GGA optimized geometry
data_Tb2PmPr2Nd
_chemical_formula_sum 'Tb4 Pm2 Pr4 Nd2'
_symmetry_space_group_name_H-M 'P m c 21'
_symmetry_Int_Tables_number 26
_cell_length_a 5.780
_cell_length_b 9.987
_cell_length_c 7.103
_cell_angle_alpha 90.00
_cell_angle_beta 90.00
_cell_angle_gamma 90.00
loop_
_symmetry_equiv_pos_as_xyz
'x,y,z'
'-x,-y,z+1/2'
'-x,y,z'
'x,-y,z+1/2'
loop_
_atom_site_label
_atom_site_type_symbol
_atom_site_fract_x
_atom_site_fract_y
_atom_site_fract_z
Tb1 Tb 0.000 0.166 0.000
Tb2 Tb 0.500 0.333 0.499
Pm1 Pm 0.500 0.000 0.250
Pr1 Pr 0.000 0.500 0.249
Pr2 Pr 0.500 0.331 0.999
Nd1 Nd 0.000 0.165 0.500
# DFT formation energy = 0.059 eV per atom
# Total magnetic moment = 0.0 Bohr magnetons per cell


Record 3
# Dy4AlGa PBE-GGA optimized geometry
data_Dy4AlGa
_chemical_formula_sum 'Dy4 Al1 Ga1'
_symmetry_space_group_name_H-M 'P 4/m m m'
_symmetry_Int_Tables_number 123
_symmetry_space_group_name_Hall '-P 4 2'
_cell_length_a 4.994
_cell_length_b 4.994
_cell_length_c 7.091
_cell_angle_alpha 90.00
_cell_angle_beta 90.00
_cell_angle_gamma 90.00
loop_
_atom_site_label
_atom_site_type_symbol
_atom_site_fract_x
_atom_site_fract_y
_atom_site_fract_z
Dy1 Dy 0.000 0.500 0.247
Al1 Al 0.000 0.000 0.500
Ga1 Ga 0.500 0.500 0.000
# DFT formation energy = -0.137 eV per atom
# Total magnetic moment = 0.0 Bohr magnetons per cell


Record 4
# Ti2RuI PBE-GGA optimized geometry
data_Ti2RuI
_chemical_formula_sum 'Ti8 Ru4 I4'
_symmetry_space_group_name_H-M 'I -4 2 d'
_symmetry_Int_Tables_number 122
_symmetry_space_group_name_Hall 'I -4 2bw'
_cell_length_a 6.027
_cell_length_b 6.027
_cell_length_c 11.646
_cell_angle_alpha 90.00
_cell_angle_beta 90.00
_cell_angle_gamma 90.00
loop_
_atom_site_label
_atom_site_type_symbol
_atom_site_fract_x
_atom_site_fract_y
_atom_site_fract_z
Ti1 Ti 0.182 0.250 0.125
Ru1 Ru 0.000 0.000 0.000
I1 I 0.000 0.000 0.500
# E_form (uncorrected) = 495 meV/atom
# Total magnetic moment = 4.6 Bohr magnetons per cell


Record 5
# LaCoIr2 PBE-GGA optimized geometry
data_LaCoIr2
_chemical_formula_sum 'La2 Co2 Ir4'
_symmetry_space_group_name_H-M 'C 1 m 1'
_symmetry_Int_Tables_number 8
_cell_length_a 9.181
_cell_length_b 3.018
_cell_length_c 5.403
_cell_angle_alpha 90.00
_cell_angle_beta 102.11
_cell_angle_gamma 90.00
loop_
_symmetry_equiv_pos_as_xyz
'x,y,z'
'x,-y,z'
'x+1/2,y+1/2,z'
'x+1/2,-y+1/2,z'
loop_
_atom_site_label
_atom_site_type_symbol
_atom_site_fract_x
_atom_site_fract_y
_atom_site_fract_z
La1 La 0.000 0.000 0.000
Co1 Co 0.233 0.000 0.692
Ir1 Ir 0.003 0.500 0.498
Ir2 Ir 0.265 0.500 0.351
# DFT formation energy = 0.052 eV per atom
# Total magnetic moment = 2.5 Bohr magnetons per cell


Record 6
# CaSn2PdO PBE-GGA optimized geometry
data_CaSn2PdO
_chemical_formula_sum 'Ca1 Sn2 Pd1 O1'
_symmetry_space_group_name_H-M 'P 4/m m m'
_symmetry_Int_Tables_number 123
_symmetry_space_group_name_Hall '-P 4 2'
_cell_length_a 4.967
_cell_length_b 4.967
_cell_length_c 5.660
_cell_angle_alpha 90.00
_cell_angle_beta 90.00
_cell_angle_gamma 90.00
loop_
_atom_site_label
_atom_site_type_symbol
_atom_site_fract_x
_atom_site_fract_y
_atom_site_fract_z
Ca1 Ca 0.000 0.000 0.000
Sn1 Sn 0.000 0.500 0.500
Pd1 Pd 0.000 0.000 0.500
O1 O 0.500 0.500 0.000
# E_form (uncorrected) = -67 meV/atom
# Total magnetic moment = 0.0 Bohr magnetons per cell